CrInSe3 PBE relaxed; E = -50.36 eV per cell; N(E_F) = 0.03 states/eV per atom
1.0
6.897 0.000 0.000
0.000 3.825 0.000
-0.125 0.000 9.505
Cr In Se
2 2 6
Direct
0.085 0.250 0.343
0.915 0.750 0.657
0.393 0.250 0.725
0.607 0.750 0.275
0.036 0.250 0.812
0.219 0.750 0.506
0.380 0.250 0.181
0.620 0.750 0.819
0.781 0.250 0.494
0.964 0.750 0.188